1.
## Pa2PbF11 (PBE)

Data for crystalline Pa2PbF11 at its relaxed geometry.

a b c (Å): 8.6107 10.7205 11.7438
angles (deg): 90.00 90.00 90.00
Last column: nearest neighbours and their distance in Å.
Space group Ibam (No. 72)
Unique sites:
Pa: 0.1463 0.1810 0.0000 (multiplicity 8)  6 F 2.15-2.31
Pb: 0.0000 0.5000 0.2500 (multiplicity 4)  8 F 2.57-2.60
F: 0.0000 0.0000 0.0000 (multiplicity 4)  2 Pa 2.31, 2 F 2.58
F: 0.0955 0.3113 0.1347 (multiplicity 16)  1 Pa 2.16
F: 0.1305 0.2163 0.5000 (multiplicity 8)  2 Pa 2.21-2.41
F: 0.2356 0.4254 0.3708 (multiplicity 16)  1 Pa 2.15

- uncorrected formation energy (meV/atom) = -3551
- calculated total energy (eV/atom) = -6.643
- size of the total moment (μB/atom) = 0.072
- crystal system = orthorhombic
- density (g/cm3) = 5.4

2.
## PaPbF (PBE)

Data for crystalline PaPbF at its relaxed geometry.

a b c (Å): 15.9203 3.2774 5.6765
angles (deg): 90.00 90.00 90.00
Last column: nearest neighbours and their distance in Å.
Space group Amm2 (No. 38)
Unique sites:
Pa: 0.1773 0.0000 0.0000 (multiplicity 4)  3 F 2.51-2.52
Pb: 0.0000 0.0000 0.6671 (multiplicity 2)  6 Pb 3.28, 6 Pa 3.40
Pb: 0.5000 0.0000 0.6626 (multiplicity 2)  6 Pb 3.28, 2 F 3.48
F: 0.2815 0.0000 0.6669 (multiplicity 4)  3 Pa 2.51-2.52

- uncorrected formation energy (meV/atom) = -1210
- calculated total energy (eV/atom) = -6.235
- size of the total moment (μB/atom) = 0.175
- crystal system = orthorhombic
- density (g/cm3) = 10.3